Version i
VASP calculation (GGA-PBE) on an optimized crystal structure of AgPt3Au.

```
data_AgPt3Au
_chemical_formula_sum 'Ag1 Pt3 Au1'
_space_group_name_H-M_alt 'P m -3 m'
_space_group_IT_number 221
_space_group_name_Hall '-P 4 2 3'
_cell_length_a 4.8593
_cell_length_b 4.8593
_cell_length_c 4.8593
_cell_angle_alpha 90.00
_cell_angle_beta 90.00
_cell_angle_gamma 90.00
loop_
_atom_site_label
_atom_site_type_symbol
_atom_site_fract_x
_atom_site_fract_y
_atom_site_fract_z
Ag1 Ag 0.0000 0.0000 0.0000
Pt1 Pt 0.0000 0.0000 0.5000
Au1 Au 0.5000 0.5000 0.5000
```

Version ii
VASP calculation (GGA-PBE) on an optimized crystal structure of AgPt3Au.

```
data_AgPt3Au
_chemical_formula_sum 'Ag1 Pt3 Au1'
_space_group_name_H-M_alt 'P m -3 m'
_space_group_IT_number 221
_space_group_name_Hall '-P 4 2 3'
_cell_length_a 4.9582
_cell_length_b 4.9582
_cell_length_c 4.9582
_cell_angle_alpha 90.00
_cell_angle_beta 90.00
_cell_angle_gamma 90.00
loop_
_atom_site_label
_atom_site_type_symbol
_atom_site_fract_x
_atom_site_fract_y
_atom_site_fract_z
Ag1 Ag 0.0000 0.0000 0.0000
Pt1 Pt 0.0000 0.5000 0.5000
Au1 Au 0.5000 0.5000 0.5000
```

Verdict on stability: version i comes out at the bottom.

Version i
VASP calculation (GGA-PBE) on an optimized crystal structure of Ag6PtAu.

```
data_Ag6PtAu
_chemical_formula_sum 'Ag18 Pt3 Au3'
_space_group_name_H-M_alt 'R -3 m'
_space_group_IT_number 166
_space_group_name_Hall '-R 3 2"'
_cell_length_a 7.5581
_cell_length_b 7.5581
_cell_length_c 10.1563
_cell_angle_alpha 90.00
_cell_angle_beta 90.00
_cell_angle_gamma 120.00
loop_
_atom_site_label
_atom_site_type_symbol
_atom_site_fract_x
_atom_site_fract_y
_atom_site_fract_z
Ag1 Ag 0.0844 0.5422 0.3812
Pt1 Pt 0.0000 0.0000 0.0000
Au1 Au 0.0000 0.0000 0.5000
```

Version ii
VASP calculation (GGA-PBE) on an optimized crystal structure of Ag6PtAu.

```
data_Ag6PtAu
_chemical_formula_sum 'Ag6 Pt1 Au1'
_space_group_name_H-M_alt 'P 4/m m m'
_space_group_IT_number 123
_space_group_name_Hall '-P 4 2'
_cell_length_a 4.1179
_cell_length_b 4.1179
_cell_length_c 8.2463
_cell_angle_alpha 90.00
_cell_angle_beta 90.00
_cell_angle_gamma 90.00
loop_
_atom_site_label
_atom_site_type_symbol
_atom_site_fract_x
_atom_site_fract_y
_atom_site_fract_z
Ag1 Ag 0.0000 0.0000 0.0000
Ag2 Ag 0.0000 0.0000 0.5000
Ag3 Ag 0.0000 0.5000 0.2456
Pt1 Pt 0.5000 0.5000 0.0000
Au1 Au 0.5000 0.5000 0.5000
```

Verdict on stability: version i comes out at the bottom.

Version i
VASP calculation (GGA-PBE) on an optimized crystal structure of Ag4PtAu3.

```
data_Ag4PtAu3
_chemical_formula_sum 'Ag8 Pt2 Au6'
_space_group_name_H-M_alt 'C 1 2/m 1'
_space_group_IT_number 12
_cell_length_a 19.9864
_cell_length_b 2.8773
_cell_length_c 5.0424
_cell_angle_alpha 90.00
_cell_angle_beta 104.46
_cell_angle_gamma 90.00
loop_
_space_group_symop_operation_xyz
'x,y,z'
'-x,-y,-z'
'-x,y,-z'
'x,-y,z'
'x+1/2,y+1/2,z'
'-x+1/2,-y+1/2,-z'
'-x+1/2,y+1/2,-z'
'x+1/2,-y+1/2,z'
loop_
_atom_site_label
_atom_site_type_symbol
_atom_site_fract_x
_atom_site_fract_y
_atom_site_fract_z
Ag1 Ag 0.1227 0.0000 0.4591
Ag2 Ag 0.1243 0.5000 0.9561
Pt1 Pt 0.0000 0.5000 0.5000
Au1 Au 0.0000 0.0000 0.0000
Au2 Au 0.2496 0.0000 0.2506
```

Version ii
VASP calculation (GGA-PBE) on an optimized crystal structure of Ag4PtAu3.

```
data_Ag4PtAu3
_chemical_formula_sum 'Ag8 Pt2 Au6'
_space_group_name_H-M_alt 'C 1 2/m 1'
_space_group_IT_number 12
_cell_length_a 23.7625
_cell_length_b 2.8300
_cell_length_c 4.6679
_cell_angle_alpha 90.00
_cell_angle_beta 97.69
_cell_angle_gamma 90.00
loop_
_space_group_symop_operation_xyz
'x,y,z'
'-x,-y,-z'
'-x,y,-z'
'x,-y,z'
'x+1/2,y+1/2,z'
'-x+1/2,-y+1/2,-z'
'-x+1/2,y+1/2,-z'
'x+1/2,-y+1/2,z'
loop_
_atom_site_label
_atom_site_type_symbol
_atom_site_fract_x
_atom_site_fract_y
_atom_site_fract_z
Ag1 Ag 0.0999 0.0000 0.1798
Ag2 Ag 0.2103 0.5000 0.2567
Pt1 Pt 0.0000 0.5000 0.0000
Au1 Au 0.0000 0.0000 0.5000
Au2 Au 0.1688 0.0000 0.7299
```

Verdict on stability: version ii comes out at the bottom.

Version i
VASP calculation (GGA-PBE) on an optimized crystal structure of AgPt2Au8.

```
data_AgPt2Au8
_chemical_formula_sum 'Ag2 Pt4 Au16'
_space_group_name_H-M_alt 'C 1 2/m 1'
_space_group_IT_number 12
_cell_length_a 14.8881
_cell_length_b 4.1286
_cell_length_c 6.4836
_cell_angle_alpha 90.00
_cell_angle_beta 105.05
_cell_angle_gamma 90.00
loop_
_space_group_symop_operation_xyz
'x,y,z'
'-x,-y,-z'
'-x,y,-z'
'x,-y,z'
'x+1/2,y+1/2,z'
'-x+1/2,-y+1/2,-z'
'-x+1/2,y+1/2,-z'
'x+1/2,-y+1/2,z'
loop_
_atom_site_label
_atom_site_type_symbol
_atom_site_fract_x
_atom_site_fract_y
_atom_site_fract_z
Ag1 Ag 0.0000 0.0000 0.0000
Pt1 Pt 0.2280 0.5000 0.6331
Au1 Au 0.0475 0.5000 0.7294
Au2 Au 0.0931 0.0000 0.4579
Au3 Au 0.1373 0.5000 0.1881
Au4 Au 0.1832 0.0000 0.9117
```

Version ii
VASP calculation (GGA-PBE) on an optimized crystal structure of AgPt2Au8.

```
data_AgPt2Au8
_chemical_formula_sum 'Ag2 Pt4 Au16'
_space_group_name_H-M_alt 'C m m m'
_space_group_IT_number 65
_space_group_name_Hall '-C 2 2'
_cell_length_a 8.3789
_cell_length_b 11.0618
_cell_length_c 4.4157
_cell_angle_alpha 90.00
_cell_angle_beta 90.00
_cell_angle_gamma 90.00
loop_
_atom_site_label
_atom_site_type_symbol
_atom_site_fract_x
_atom_site_fract_y
_atom_site_fract_z
Ag1 Ag 0.0000 0.0000 0.0000
Pt1 Pt 0.0000 0.3811 0.5000
Au1 Au 0.0000 0.2476 0.0000
Au2 Au 0.1680 0.5000 0.0000
Au3 Au 0.1687 0.1344 0.5000
```

Verdict on stability: version ii comes out at the bottom.

Version i
VASP calculation (GGA-PBE) on an optimized crystal structure of Ag2Pt2Au7.

```
data_Ag2Pt2Au7
_chemical_formula_sum 'Ag4 Pt4 Au14'
_space_group_name_H-M_alt 'C 1 2/m 1'
_space_group_IT_number 12
_cell_length_a 8.3328
_cell_length_b 9.5890
_cell_length_c 5.5527
_cell_angle_alpha 90.00
_cell_angle_beta 113.04
_cell_angle_gamma 90.00
loop_
_space_group_symop_operation_xyz
'x,y,z'
'-x,-y,-z'
'-x,y,-z'
'x,-y,z'
'x+1/2,y+1/2,z'
'-x+1/2,-y+1/2,-z'
'-x+1/2,y+1/2,-z'
'x+1/2,-y+1/2,z'
loop_
_atom_site_label
_atom_site_type_symbol
_atom_site_fract_x
_atom_site_fract_y
_atom_site_fract_z
Ag1 Ag 0.0000 0.1440 0.0000
Pt1 Pt 0.1534 0.5000 0.4531
Au1 Au 0.0000 0.0000 0.5000
Au2 Au 0.1745 0.5000 0.9723
Au3 Au 0.1808 0.2446 0.6966
```

Version ii
VASP calculation (GGA-PBE) on an optimized crystal structure of Ag2Pt2Au7.

```
data_Ag2Pt2Au7
_chemical_formula_sum 'Ag4 Pt4 Au14'
_space_group_name_H-M_alt 'C 1 2/m 1'
_space_group_IT_number 12
_cell_length_a 9.5900
_cell_length_b 9.5304
_cell_length_c 5.0324
_cell_angle_alpha 90.00
_cell_angle_beta 116.95
_cell_angle_gamma 90.00
loop_
_space_group_symop_operation_xyz
'x,y,z'
'-x,-y,-z'
'-x,y,-z'
'x,-y,z'
'x+1/2,y+1/2,z'
'-x+1/2,-y+1/2,-z'
'-x+1/2,y+1/2,-z'
'x+1/2,-y+1/2,z'
loop_
_atom_site_label
_atom_site_type_symbol
_atom_site_fract_x
_atom_site_fract_y
_atom_site_fract_z
Ag1 Ag 0.0000 0.1673 0.0000
Pt1 Pt 0.2375 0.5000 0.9657
Au1 Au 0.0000 0.0000 0.5000
Au2 Au 0.0917 0.5000 0.3298
Au3 Au 0.1717 0.2473 0.6770
```

Verdict on stability: version i comes out at the bottom.

Version i
VASP calculation (GGA-PBE) on an optimized crystal structure of Ag6Pt2Au.

```
data_Ag6Pt2Au
_chemical_formula_sum 'Ag12 Pt4 Au2'
_space_group_name_H-M_alt 'C 1 2/m 1'
_space_group_IT_number 12
_cell_length_a 9.2834
_cell_length_b 4.0897
_cell_length_c 8.7252
_cell_angle_alpha 90.00
_cell_angle_beta 110.25
_cell_angle_gamma 90.00
loop_
_space_group_symop_operation_xyz
'x,y,z'
'-x,-y,-z'
'-x,y,-z'
'x,-y,z'
'x+1/2,y+1/2,z'
'-x+1/2,-y+1/2,-z'
'-x+1/2,y+1/2,-z'
'x+1/2,-y+1/2,z'
loop_
_atom_site_label
_atom_site_type_symbol
_atom_site_fract_x
_atom_site_fract_y
_atom_site_fract_z
Ag1 Ag 0.0021 0.0000 0.1678
Ag2 Ag 0.1679 0.5000 0.3877
Ag3 Ag 0.1696 0.5000 0.0563
Pt1 Pt 0.1642 0.5000 0.7206
Au1 Au 0.0000 0.0000 0.5000
```

Version ii
VASP calculation (GGA-PBE) on an optimized crystal structure of Ag6Pt2Au.

```
data_Ag6Pt2Au
_chemical_formula_sum 'Ag12 Pt4 Au2'
_space_group_name_H-M_alt 'I m m m'
_space_group_IT_number 71
_space_group_name_Hall '-I 2 2'
_cell_length_a 2.8042
_cell_length_b 7.9174
_cell_length_c 14.3094
_cell_angle_alpha 90.00
_cell_angle_beta 90.00
_cell_angle_gamma 90.00
loop_
_atom_site_label
_atom_site_type_symbol
_atom_site_fract_x
_atom_site_fract_y
_atom_site_fract_z
Ag1 Ag 0.0000 0.1728 0.0000
Ag2 Ag 0.0000 0.3249 0.1721
Pt1 Pt 0.0000 0.5000 0.3467
Au1 Au 0.0000 0.0000 0.5000
```

Verdict on stability: version ii comes out at the bottom.

Version i
VASP calculation (GGA-PBE) on an optimized crystal structure of Ag6PtAu3.

```
data_Ag6PtAu3
_chemical_formula_sum 'Ag36 Pt6 Au18'
_space_group_name_H-M_alt 'R -3 c'
_space_group_IT_number 167
_space_group_name_Hall '-R 3 2"c'
_cell_length_a 13.6719
_cell_length_b 13.6719
_cell_length_c 7.0747
_cell_angle_alpha 90.00
_cell_angle_beta 90.00
_cell_angle_gamma 120.00
loop_
_atom_site_label
_atom_site_type_symbol
_atom_site_fract_x
_atom_site_fract_y
_atom_site_fract_z
Ag1 Ag 0.0693 0.2112 0.0825
Pt1 Pt 0.0000 0.0000 0.2500
Au1 Au 0.0000 0.2770 0.7500
```

Version ii
VASP calculation (GGA-PBE) on an optimized crystal structure of Ag6PtAu3.

```
data_Ag6PtAu3
_chemical_formula_sum 'Ag24 Pt4 Au12'
_space_group_name_H-M_alt 'C m c 21'
_space_group_IT_number 36
_cell_length_a 8.9681
_cell_length_b 15.8661
_cell_length_c 5.2099
_cell_angle_alpha 90.00
_cell_angle_beta 90.00
_cell_angle_gamma 90.00
loop_
_space_group_symop_operation_xyz
'x,y,z'
'-x,-y,z+1/2'
'-x,y,z'
'x,-y,z+1/2'
'x+1/2,y+1/2,z'
'-x+1/2,-y+1/2,z+1/2'
'-x+1/2,y+1/2,z'
'x+1/2,-y+1/2,z+1/2'
loop_
_atom_site_label
_atom_site_type_symbol
_atom_site_fract_x
_atom_site_fract_y
_atom_site_fract_z
Ag1 Ag 0.0000 0.0592 0.0000
Ag2 Ag 0.0000 0.2990 0.7256
Ag3 Ag 0.1624 0.4565 0.6039
Ag4 Ag 0.2412 0.2048 0.9235
Pt1 Pt 0.0000 0.2194 0.2390
Au1 Au 0.0000 0.3910 0.1744
Au2 Au 0.1616 0.1018 0.5109
```

Verdict on stability: version i comes out at the bottom.

Version i
VASP calculation (GGA-PBE) on an optimized crystal structure of Ag2Pt2Au5.

```
data_Ag2Pt2Au5
_chemical_formula_sum 'Ag2 Pt2 Au5'
_space_group_name_H-M_alt 'P -1'
_space_group_IT_number 2
_cell_length_a 5.0204
_cell_length_b 5.0268
_cell_length_c 7.6767
_cell_angle_alpha 71.27
_cell_angle_beta 71.09
_cell_angle_gamma 60.09
loop_
_space_group_symop_operation_xyz
'x,y,z'
'-x,-y,-z'
loop_
_atom_site_label
_atom_site_type_symbol
_atom_site_fract_x
_atom_site_fract_y
_atom_site_fract_z
Ag1 Ag 0.1103 0.2760 0.1688
Pt1 Pt 0.3363 0.8315 0.4990
Au1 Au 0.0000 0.5000 0.5000
Au2 Au 0.2247 0.0504 0.8316
Au3 Au 0.4473 0.6122 0.1676
```

Version ii
VASP calculation (GGA-PBE) on an optimized crystal structure of Ag2Pt2Au5.

```
data_Ag2Pt2Au5
_chemical_formula_sum 'Ag8 Pt8 Au20'
_space_group_name_H-M_alt 'I m a 2'
_space_group_IT_number 46
_cell_length_a 13.5637
_cell_length_b 5.1604
_cell_length_c 9.6083
_cell_angle_alpha 90.00
_cell_angle_beta 90.00
_cell_angle_gamma 90.00
loop_
_space_group_symop_operation_xyz
'x,y,z'
'-x,-y,z'
'-x+1/2,y,z'
'x+1/2,-y,z'
'x+1/2,y+1/2,z+1/2'
'-x+1/2,-y+1/2,z+1/2'
'-x,y+1/2,z+1/2'
'x,-y+1/2,z+1/2'
loop_
_atom_site_label
_atom_site_type_symbol
_atom_site_fract_x
_atom_site_fract_y
_atom_site_fract_z
Ag1 Ag 0.0000 0.0000 0.0000
Ag2 Ag 0.2500 0.0810 0.0590
Pt1 Pt 0.0987 0.0129 0.5250
Au1 Au 0.0591 0.7172 0.7567
Au2 Au 0.1481 0.1944 0.7905
Au3 Au 0.2500 0.6795 0.8631
```

Verdict on stability: version ii comes out at the bottom.

Version i
VASP calculation (GGA-PBE) on an optimized crystal structure of Ag5PtAu4.

```
data_Ag5PtAu4
_chemical_formula_sum 'Ag5 Pt1 Au4'
_space_group_name_H-M_alt 'P 4/m m m'
_space_group_IT_number 123
_space_group_name_Hall '-P 4 2'
_cell_length_a 2.9104
_cell_length_b 2.9104
_cell_length_c 20.8199
_cell_angle_alpha 90.00
_cell_angle_beta 90.00
_cell_angle_gamma 90.00
loop_
_atom_site_label
_atom_site_type_symbol
_atom_site_fract_x
_atom_site_fract_y
_atom_site_fract_z
Ag1 Ag 0.0000 0.0000 0.0000
Ag2 Ag 0.0000 0.0000 0.2021
Ag3 Ag 0.0000 0.0000 0.4042
Pt1 Pt 0.5000 0.5000 0.5000
Au1 Au 0.5000 0.5000 0.1009
Au2 Au 0.5000 0.5000 0.3030
```

Version ii
VASP calculation (GGA-PBE) on an optimized crystal structure of Ag5PtAu4.

```
data_Ag5PtAu4
_chemical_formula_sum 'Ag10 Pt2 Au8'
_space_group_name_H-M_alt 'P m m n'
_space_group_IT_number 59
_cell_length_a 8.9339
_cell_length_b 9.0362
_cell_length_c 4.7718
_cell_angle_alpha 90.00
_cell_angle_beta 90.00
_cell_angle_gamma 90.00
loop_
_space_group_symop_operation_xyz
'x,y,z'
'-x,-y,-z'
'-x+1/2,-y+1/2,z'
'x+1/2,y+1/2,-z'
'x+1/2,-y,-z'
'-x+1/2,y,z'
'-x,y+1/2,-z'
'x,-y+1/2,z'
loop_
_atom_site_label
_atom_site_type_symbol
_atom_site_fract_x
_atom_site_fract_y
_atom_site_fract_z
Ag1 Ag 0.0779 0.0115 0.2486
Ag2 Ag 0.2500 0.7500 0.2720
Pt1 Pt 0.2500 0.2500 0.1288
Au1 Au 0.0841 0.2500 0.6479
Au2 Au 0.2500 0.5486 0.7581
```

Verdict on stability: version ii comes out at the bottom.

Version i
VASP calculation (GGA-PBE) on an optimized crystal structure of PuAgAu.

```
data_PuAgAu
_chemical_formula_sum 'Pu4 Ag4 Au4'
_space_group_name_H-M_alt 'F -4 3 m'
_space_group_IT_number 216
_space_group_name_Hall 'F -4 2 3'
_cell_length_a 6.8113
_cell_length_b 6.8113
_cell_length_c 6.8113
_cell_angle_alpha 90.00
_cell_angle_beta 90.00
_cell_angle_gamma 90.00
loop_
_atom_site_label
_atom_site_type_symbol
_atom_site_fract_x
_atom_site_fract_y
_atom_site_fract_z
Pu1 Pu 0.0000 0.0000 0.0000
Ag1 Ag 0.0000 0.0000 0.5000
Au1 Au 0.2500 0.2500 0.2500
```

Version ii
VASP calculation (GGA-PBE) on an optimized crystal structure of PuAgAu.

```
data_PuAgAu
_chemical_formula_sum 'Pu4 Ag4 Au4'
_space_group_name_H-M_alt 'A m m 2'
_space_group_IT_number 38
_cell_length_a 3.0072
_cell_length_b 15.8997
_cell_length_c 5.3939
_cell_angle_alpha 90.00
_cell_angle_beta 90.00
_cell_angle_gamma 90.00
loop_
_space_group_symop_operation_xyz
'x,y,z'
'-x,-y,z'
'-x,y,z'
'x,-y,z'
'x,y+1/2,z+1/2'
'-x,-y+1/2,z+1/2'
'-x,y+1/2,z+1/2'
'x,-y+1/2,z+1/2'
loop_
_atom_site_label
_atom_site_type_symbol
_atom_site_fract_x
_atom_site_fract_y
_atom_site_fract_z
Pu1 Pu 0.0000 0.1768 0.0000
Ag1 Ag 0.0000 0.0000 0.6851
Ag2 Ag 0.5000 0.0000 0.1690
Au1 Au 0.5000 0.1478 0.4997
```

Version iii
VASP calculation (GGA-PBE) on an optimized crystal structure of PuAgAu.

```
data_PuAgAu
_chemical_formula_sum 'Pu2 Ag2 Au2'
_space_group_name_H-M_alt 'I m m 2'
_space_group_IT_number 44
_cell_length_a 2.9997
_cell_length_b 4.4269
_cell_length_c 9.6927
_cell_angle_alpha 90.00
_cell_angle_beta 90.00
_cell_angle_gamma 90.00
loop_
_space_group_symop_operation_xyz
'x,y,z'
'-x,-y,z'
'-x,y,z'
'x,-y,z'
'x+1/2,y+1/2,z+1/2'
'-x+1/2,-y+1/2,z+1/2'
'-x+1/2,y+1/2,z+1/2'
'x+1/2,-y+1/2,z+1/2'
loop_
_atom_site_label
_atom_site_type_symbol
_atom_site_fract_x
_atom_site_fract_y
_atom_site_fract_z
Pu1 Pu 0.0000 0.0000 0.0000
Ag1 Ag 0.0000 0.0000 0.6798
Au1 Au 0.0000 0.0000 0.3277
```

Version iv
VASP calculation (GGA-PBE) on an optimized crystal structure of PuAgAu.

```
data_PuAgAu
_chemical_formula_sum 'Pu1 Ag1 Au1'
_space_group_name_H-M_alt 'P -6 m 2'
_space_group_IT_number 187
_space_group_name_Hall 'P -6 2'
_cell_length_a 4.9533
_cell_length_b 4.9533
_cell_length_c 3.0349
_cell_angle_alpha 90.00
_cell_angle_beta 90.00
_cell_angle_gamma 120.00
loop_
_atom_site_label
_atom_site_type_symbol
_atom_site_fract_x
_atom_site_fract_y
_atom_site_fract_z
Pu1 Pu 0.0000 0.0000 0.0000
Ag1 Ag 0.3333 0.6667 0.5000
Au1 Au 0.6667 0.3333 0.5000
```

Verdict on stability: version i comes out at the bottom.